TmAlHg2 PBE optimized geometry; crystal system = tetragonal; ρ = 11.25 Mg/m³; energy of formation from the pure elements = -0.262 eV/atom; symmetry = P4/mmm
1.0
4.468 0.000 0.000
0.000 4.468 0.000
0.000 0.000 4.414
Tm Al Hg
1 1 2
Direct
0.000 0.000 0.000
0.500 0.500 0.000
0.000 0.500 0.500
0.500 0.000 0.500